BaCuS3 | PBE-GGA | optimized geometry

Summary:
- Volume: 250.3 Å³ per cell
- ΔE_f (raw): -0.89 eV/atom
- E above lowest polymorph: 0.000 eV/atom
- Energy: -4.57 eV per atom
- Space-group type: P2_1, No. 4
- Size of the total moment: 0.0 μB per cell
- Crystal system: monoclinic

Cell lengths 4.9791, 6.4379, 7.9548 Å; angles 90.00, 100.96, 90.00 degrees
With the nearest neighbours (Å) after each atom.
Fractional positions:
Ba 0.7484 0.0081 0.2542  8 S 3.17-3.41
Ba 0.2516 0.5081 0.7458  8 S 3.17-3.41
Cu 0.0480 0.5098 0.1563  4 S 2.27-2.32
Cu 0.9520 0.0098 0.8437  4 S 2.27-2.32
S 0.1982 0.0170 0.6231  1 S 2.08, 1 Cu 2.32
S 0.8069 0.3126 0.9430  2 Cu 2.27
S 0.4074 0.4025 0.3596  1 S 2.08, 1 Cu 2.28
S 0.5926 0.9025 0.6404  1 S 2.08, 1 Cu 2.28
S 0.1931 0.8126 0.0570  2 Cu 2.27
S 0.8018 0.5170 0.3769  1 S 2.08, 1 Cu 2.32